Rb12Cl5F3 | GGA-PBE | optimized geometry

```
Rb12Cl5F3
1.0
-9.866 9.866 9.866
9.866 -9.866 9.866
9.866 9.866 -9.866
Rb Cl F
48 20 12
Direct
0.008 0.638 0.194 Rb
0.008 0.870 0.813 Rb
0.057 0.187 0.694 Rb
0.057 0.370 0.362 Rb
0.130 0.187 0.992 Rb
0.130 0.443 0.138 Rb
0.138 0.130 0.443 Rb
0.138 0.508 0.694 Rb
0.187 0.694 0.057 Rb
0.187 0.992 0.130 Rb
0.194 0.008 0.638 Rb
0.194 0.687 0.557 Rb
0.306 0.862 0.492 Rb
0.306 0.943 0.813 Rb
0.313 0.370 0.508 Rb
0.313 0.443 0.806 Rb
0.362 0.057 0.370 Rb
0.362 0.806 0.992 Rb
0.370 0.362 0.057 Rb
0.370 0.508 0.313 Rb
0.443 0.138 0.130 Rb
0.443 0.806 0.313 Rb
0.492 0.306 0.862 Rb
0.492 0.687 0.630 Rb
0.508 0.313 0.370 Rb
0.508 0.694 0.138 Rb
0.557 0.194 0.687 Rb
0.557 0.862 0.870 Rb
0.630 0.492 0.687 Rb
0.630 0.638 0.943 Rb
0.638 0.194 0.008 Rb
0.638 0.943 0.630 Rb
0.687 0.557 0.194 Rb
0.687 0.630 0.492 Rb
0.694 0.057 0.187 Rb
0.694 0.138 0.508 Rb
0.806 0.313 0.443 Rb
0.806 0.992 0.362 Rb
0.813 0.008 0.870 Rb
0.813 0.306 0.943 Rb
0.862 0.492 0.306 Rb
0.862 0.870 0.557 Rb
0.870 0.557 0.862 Rb
0.870 0.813 0.008 Rb
0.943 0.630 0.638 Rb
0.943 0.813 0.306 Rb
0.992 0.130 0.187 Rb
0.992 0.362 0.806 Rb
0.000 0.000 0.000 Cl
0.000 0.000 0.500 Cl
0.000 0.500 0.000 Cl
0.000 0.500 0.500 Cl
0.125 0.750 0.875 Cl
0.125 0.875 0.250 Cl
0.250 0.125 0.875 Cl
0.250 0.625 0.375 Cl
0.375 0.250 0.625 Cl
0.375 0.625 0.750 Cl
0.500 0.000 0.000 Cl
0.500 0.000 0.500 Cl
0.500 0.500 0.000 Cl
0.500 0.500 0.500 Cl
0.625 0.375 0.250 Cl
0.625 0.750 0.375 Cl
0.750 0.375 0.625 Cl
0.750 0.875 0.125 Cl
0.875 0.125 0.750 Cl
0.875 0.250 0.125 Cl
0.125 0.250 0.375 F
0.125 0.375 0.750 F
0.250 0.375 0.125 F
0.250 0.875 0.625 F
0.375 0.125 0.250 F
0.375 0.750 0.125 F
0.625 0.250 0.875 F
0.625 0.875 0.750 F
0.750 0.125 0.375 F
0.750 0.625 0.875 F
0.875 0.625 0.250 F
0.875 0.750 0.625 F
```

Rb2ClF | GGA-PBE | optimized geometry

```
Rb2ClF
1.0
3.723 0.000 0.000
0.000 3.723 0.000
0.000 0.000 7.552
Rb Cl F
2 1 1
Direct
0.000 0.000 0.226 Rb
0.000 0.000 0.774 Rb
0.500 0.500 0.500 Cl
0.500 0.500 0.000 F
```

RbCl2F2 | GGA-PBE | optimized geometry

```
RbCl2F2
1.0
4.626 0.000 0.000
-2.313 4.006 0.000
0.000 0.000 8.123
Rb Cl F
1 2 2
Direct
0.000 0.000 0.000 Rb
0.333 0.667 0.360 Cl
0.667 0.333 0.640 Cl
0.333 0.667 0.120 F
0.667 0.333 0.880 F
```

Rb2ClF6 | GGA-PBE | optimized geometry

```
Rb2ClF6
1.0
-2.919 2.919 4.975
2.919 -2.919 4.975
2.919 2.919 -4.975
Rb Cl F
2 1 6
Direct
0.250 0.750 0.500 Rb
0.750 0.250 0.500 Rb
0.000 0.000 0.000 Cl
0.219 0.219 0.439 F
0.219 0.781 0.000 F
0.237 0.237 0.000 F
0.763 0.763 0.000 F
0.781 0.219 0.000 F
0.781 0.781 0.561 F
```

What energy relative to the elements, uncorrected values result from the calculations? In sequence: -1591, -2182, -938, -1597 meV per atom.